VASP calculation (PBE) on an optimized crystal structure of KAl2Tc.

Summary:
Relative energy among the computed polymorphs in meV per atom: 591.7
Symmetry: I4_1/amd
ΔE_f in meV per atom: 674

Cell: 5.8202 5.8202 8.7865 Å, 70.66 70.66 90.00°
Fractional positions:
Al: 0.8750 0.6250 0.2500
Al: 0.8750 0.1250 0.2500
Al: 0.8750 0.1250 0.7500
Al: 0.3750 0.1250 0.7500
Tc: 0.0000 0.0000 0.0000
Tc: 0.7500 0.2500 0.5000
K: 0.5000 0.5000 0.0000
K: 0.2500 0.7500 0.5000



VASP calculation (PBE) on an optimized crystal structure of Ac8Ni3IrI4.

Summary:
Symmetry: C2/m
Formation energy from raw total energies in eV per atom: -0.8097

Cell: 8.7613 9.9955 8.7344 Å, 115.88 120.10 90.00°
Fractional positions:
Ni: 0.0000 0.5000 0.5000
Ni: 0.5000 0.5000 0.0000
Ni: 0.5000 0.5000 0.5000
Ac: 0.2723 0.3169 0.0457
Ac: 0.2272 0.6835 0.4543
Ac: 0.2741 0.3198 0.5481
Ac: 0.2266 0.6831 0.9543
Ac: 0.7728 0.3165 0.5457
Ac: 0.7259 0.6802 0.4519
Ac: 0.7734 0.3169 0.0457
Ac: 0.7277 0.6831 0.9543
I: 0.0000 0.0000 0.0000
I: 0.5000 0.0000 0.5000
I: 0.0000 0.0000 0.5000
I: 0.5000 0.0000 0.0000
Ir: 0.0000 0.5000 0.0000



VASP calculation (PBE) on an optimized crystal structure of LiY3Tm2S6.

Summary:
Symmetry: C2/m
Formation energy from raw total energies in eV per atom: -1.9498

Cell: 6.6862 6.6862 6.7218 Å, 99.57 99.57 120.13°
Fractional positions:
S: 0.7530 0.7530 0.2374
S: 0.4082 0.0799 0.2409
S: 0.9201 0.5918 0.7591
S: 0.2470 0.2470 0.7626
S: 0.5918 0.9201 0.7591
S: 0.0799 0.4082 0.2409
Y: 0.1652 0.8348 0.5000
Y: 0.5000 0.5000 0.5000
Y: 0.8348 0.1652 0.5000
Li: 0.0000 0.0000 0.0000
Tm: 0.3344 0.6656 0.0000
Tm: 0.6656 0.3344 0.0000



VASP calculation (PBE) on an optimized crystal structure of B2OsC2.

Summary:
Relative energy among the computed polymorphs in meV per atom: 0.0
Symmetry: I4/mmm
ΔE_f in meV per atom: 1364

Cell: 2.7568 2.7568 5.5152 Å, 75.53 75.53 90.00°
Fractional positions:
C: 0.3427 0.3427 0.3147
C: 0.6573 0.6573 0.6853
Os: 0.0000 0.0000 0.0000
B: 0.2500 0.7500 0.5000
B: 0.7500 0.2500 0.5000



VASP calculation (PBE) on an optimized crystal structure of CuTe2Cl8.

Summary:
Symmetry: C2/m
Formation energy from raw total energies in eV per atom: -0.4332

Cell: 8.1687 7.6314 7.6314 Å, 55.15 95.09 95.09°
Fractional positions:
Cl: 0.9387 0.8849 0.3384
Cl: 0.5586 0.1536 0.1536
Cl: 0.3455 0.5959 0.5959
Cl: 0.9387 0.3384 0.8849
Cl: 0.4414 0.8464 0.8464
Cl: 0.0613 0.1151 0.6616
Cl: 0.0613 0.6616 0.1151
Cl: 0.6545 0.4041 0.4041
Te: 0.8025 0.2614 0.2614
Te: 0.1975 0.7386 0.7386
Cu: 0.0000 0.0000 0.0000



VASP calculation (PBE) on an optimized crystal structure of LaPa2Al.

Summary:
Relative energy among the computed polymorphs in meV per atom: 79.3
Symmetry: P4/mmm
ΔE_f in meV per atom: 159

Cell: 3.8105 3.8105 7.5184 Å, 90.00 90.00 90.00°
Fractional positions:
Pa: 0.0000 0.0000 0.3148
Pa: 0.0000 0.0000 0.6852
La: 0.5000 0.5000 0.0000
Al: 0.5000 0.5000 0.5000



VASP calculation (PBE) on an optimized crystal structure of Ba2MnBe.

Summary:
Symmetry: P4mm
ΔE_f in meV per atom: 544

Cell: 3.5646 3.5646 9.4657 Å, 90.00 90.00 90.00°
Fractional positions:
Mn: 0.5000 0.5000 0.6576
Be: 0.0000 0.0000 0.5852
Ba: 0.5000 0.5000 0.3354
Ba: 0.0000 0.0000 0.9218



VASP calculation (PBE) on an optimized crystal structure of Ca2BeNiRu.

Summary:
Symmetry: P4/mmm
ΔE_f in meV per atom: 728

Cell: 5.2535 4.4052 5.2535 Å, 90.00 90.00 90.00°
Fractional positions:
Ca: 0.5000 0.0000 0.0000
Ca: 0.0000 0.0000 0.5000
Be: 0.5000 0.5000 0.5000
Ru: 0.0000 0.5000 0.0000
Ni: 0.0000 0.0000 0.0000



VASP calculation (PBE) on an optimized crystal structure of YCrP.

Summary:
Symmetry: F-43m
ΔE_f in meV per atom: -406

Cell: 4.4336 4.4336 4.4336 Å, 60.00 60.00 60.00°
Fractional positions:
P: 0.7500 0.7500 0.7500
Y: 0.0000 0.0000 0.0000
Cr: 0.5000 0.5000 0.5000



VASP calculation (PBE) on an optimized crystal structure of Zn5GePt6.

Summary:
Symmetry: Immm
ΔE_f in meV per atom: -483

Cell: 4.5410 5.7305 7.7617 Å, 111.67 107.02 89.98°
Fractional positions:
Zn: 0.3303 0.3303 0.6605
Zn: 0.3250 0.8250 0.6500
Zn: 0.6750 0.1750 0.3500
Zn: 0.0000 0.5000 0.0000
Zn: 0.6697 0.6697 0.3395
Pt: 0.8396 0.0872 0.6785
Pt: 0.4996 0.7530 0.0000
Pt: 0.5004 0.2470 0.0000
Pt: 0.1611 0.4087 0.3215
Pt: 0.8389 0.5913 0.6785
Pt: 0.1604 0.9128 0.3215
Ge: 0.0000 0.0000 0.0000